A plane-wave DFT calculation with GGA-PBE was carried out for an optimized crystal structure of Ba4TlGaHg2.

Formation energy, kJ/mol of formula units: -344.5
Magnetization, μB per cell: 0.00

a = 5.9420 Å, b = 5.9420 Å, c = 10.3114 Å
α = 73.25°, β = 73.25°, γ = 60.00°
Positions (direct):
Ba 0.3783 0.3783 0.8652
Ba 0.8721 0.8721 0.3837
Ba 0.1279 0.1279 0.6163
Ba 0.6217 0.6217 0.1348
Tl 0.0000 0.0000 0.0000
Ga 0.5000 0.5000 0.5000
Hg 0.7479 0.7479 0.7563
Hg 0.2521 0.2521 0.2437